Record 1
In2SnHgBi, relaxed, DFT GGA-PBE; total magnetization = 0.00 μB per atom; energy = -2.62 eV per atom; crystal system = orthorhombic; calculated volume = 30.1 Å³ per atom
1.0
-5.5617 -1.9849 -1.3295
-1.2284 -0.7090 6.1973
-2.0789 7.6955 -2.7926
Sn In Hg Bi
2 4 2 2
direct
0.7500 0.7752 0.5503
0.2500 0.2248 0.4497
0.5000 0.2573 0.0000
0.5000 0.7427 0.0000
0.0000 0.7427 0.0000
0.0000 0.2573 0.0000
0.7500 0.1370 0.2741
0.2500 0.8630 0.7259
0.2500 0.6702 0.3404
0.7500 0.3298 0.6596

Record 2
Bi2Se2Cl, relaxed, DFT GGA-PBE; total magnetization = 0.00 μB per atom; energy = -3.63 eV per atom; energy relative to the elements, uncorrected = -1.58 eV per formula unit; crystal system = tetragonal; calculated volume = 31.3 Å³ per atom
1.0
5.1925 0.0000 0.0000
0.0000 5.1925 0.0000
2.5963 2.5963 5.8124
Se Cl Bi
2 1 2
direct
0.2500 0.7500 0.5000
0.7500 0.2500 0.5000
0.0000 0.0000 0.0000
0.6441 0.6441 0.7118
0.3559 0.3559 0.2882

Record 3
KZr3Pd, relaxed, DFT GGA-PBE; total magnetization = 0.00 μB per atom; energy = -4.48 eV per atom; crystal system = cubic; calculated volume = 22.5 Å³ per atom
1.0
4.8275 0.0000 0.0000
0.0000 4.8275 0.0000
0.0000 0.0000 4.8275
K Pd Zr
1 1 3
direct
0.0000 0.0000 0.0000
0.5000 0.5000 0.5000
0.5000 0.0000 0.0000
0.0000 0.5000 0.0000
0.0000 0.0000 0.5000

Record 4
Rb2TiTeF6, relaxed, DFT GGA-PBE; total magnetization = 0.00 μB per atom; energy = -5.07 eV per atom; energy relative to the elements, uncorrected = -26.49 eV per formula unit; crystal system = tetragonal; calculated volume = 23.1 Å³ per atom
1.0
-6.5835 1.7877 2.9334
0.5178 -5.7522 4.6677
-1.1213 0.4623 6.6010
F Ti Rb Te
6 1 2 1
direct
0.6790 0.3210 0.0000
0.7311 0.7311 0.5379
0.3210 0.6790 0.0000
0.6790 0.6790 0.0000
0.3210 0.3210 0.0000
0.2689 0.2689 0.4621
0.5000 0.5000 0.0000
0.7500 0.2500 0.5000
0.2500 0.7500 0.5000
0.0000 0.0000 0.0000

Record 5
LiCaHf3, relaxed, DFT GGA-PBE; total magnetization = 0.00 μB per atom; energy = -4.97 eV per atom; crystal system = cubic; calculated volume = 27.4 Å³ per atom
1.0
5.1540 0.0000 0.0000
0.0000 5.1540 0.0000
0.0000 0.0000 5.1540
Hf Li Ca
3 1 1
direct
0.0000 0.5000 0.0000
0.5000 0.0000 0.0000
0.0000 0.0000 0.5000
0.5000 0.5000 0.5000
0.0000 0.0000 0.0000

Record 6
Er2GaGe, relaxed, DFT GGA-PBE; total magnetization = 0.00 μB per atom; energy = -4.76 eV per atom; crystal system = trigonal; calculated volume = 23.5 Å³ per atom
1.0
-0.8437 -3.3614 -3.1257
0.7519 -4.4682 1.1181
-4.7139 -2.9816 0.9947
Ge Er Ga
1 2 1
direct
0.5000 0.5000 0.5000
0.2492 0.2492 0.2523
0.7508 0.7508 0.7477
0.0000 0.0000 0.0000